No. 1
In2SbSe4 (GGA-PBE, optimized geometry); raw formation energy = -0.336 eV per atom; calculated total energy = -3.70 eV/atom; space-group type = I4/m, No. 87
1.0
-3.973 3.973 3.500
3.973 -3.973 3.500
3.973 3.973 -3.500
In Sb Se
2 1 4
Direct
0.250 0.750 0.500
0.750 0.250 0.500
0.000 0.000 0.000
0.176 0.322 0.498
0.322 0.824 0.146
0.678 0.176 0.854
0.824 0.678 0.502

---

No. 2
TaBr2F (GGA-PBE, optimized geometry); raw formation energy = -0.057 eV per atom; calculated total energy = -4.32 eV/atom; space-group type = R-3m, No. 166; energy above the most stable polymorph in this dataset = 1065 meV/atom
1.0
1.752 1.012 8.450
-1.752 1.012 8.450
0.000 -2.023 8.450
Ta Br F
1 2 1
Direct
0.000 0.000 0.000
0.093 0.093 0.093
0.907 0.907 0.907
0.500 0.500 0.500

---

No. 3
Tc4PbW (GGA-PBE, optimized geometry); calculated total energy = -9.15 eV/atom; formation energy = 539 meV/atom; space-group type = F-43m, No. 216
1.0
0.000 3.675 3.675
3.675 0.000 3.675
3.675 3.675 0.000
Tc Pb W
4 1 1
Direct
0.124 0.124 0.124
0.124 0.124 0.627
0.124 0.627 0.124
0.627 0.124 0.124
0.750 0.750 0.750
0.500 0.500 0.500

---

No. 4
CaZrReSb2 (GGA-PBE, optimized geometry); raw formation energy = 0.360 eV per atom; calculated total energy = -5.89 eV/atom; space-group type = P4/mmm, No. 123
1.0
5.263 0.000 0.000
0.000 5.263 0.000
0.000 0.000 5.115
Ca Zr Re Sb
1 1 1 2
Direct
0.000 0.000 0.000
0.500 0.500 0.000
0.500 0.500 0.500
0.000 0.500 0.500
0.500 0.000 0.500

---

No. 5
Ca2GaTcO6 (GGA-PBE, optimized geometry); raw formation energy = -2.179 eV per atom; calculated total energy = -6.89 eV/atom; space-group type = P2_1/c, No. 14
1.0
5.411 0.000 0.000
0.000 5.555 0.000
-5.405 0.000 7.714
Ca Ga Tc O
4 2 2 12
Direct
0.237 0.051 0.249
0.237 0.449 0.749
0.763 0.551 0.251
0.763 0.949 0.751
0.000 0.000 0.500
0.000 0.500 0.000
0.500 0.000 0.000
0.500 0.500 0.500
0.160 0.204 0.955
0.160 0.296 0.455
0.253 0.707 0.954
0.253 0.793 0.454
0.338 0.025 0.751
0.338 0.475 0.251
0.662 0.525 0.749
0.662 0.975 0.249
0.747 0.207 0.546
0.747 0.293 0.046
0.840 0.704 0.545
0.840 0.796 0.045

---

No. 6
SrFe2Ni (GGA-PBE, optimized geometry); calculated total energy = -5.59 eV/atom; formation energy = 511 meV/atom; space-group type = P4/mmm, No. 123
1.0
3.208 0.000 0.000
0.000 3.208 0.000
0.000 0.000 6.906
Sr Fe Ni
1 2 1
Direct
0.000 0.000 0.000
0.500 0.500 0.342
0.500 0.500 0.658
0.000 0.000 0.500

---

No. 7
KPmPr2 (GGA-PBE, optimized geometry); calculated total energy = -3.67 eV/atom; formation energy = 183 meV/atom; space-group type = R-3m, No. 166
1.0
1.853 1.070 13.580
-1.853 1.070 13.580
0.000 -2.140 13.580
K Pm Pr
1 1 2
Direct
0.000 0.000 0.000
0.500 0.500 0.500
0.095 0.095 0.095
0.905 0.905 0.905

---

No. 8
BaAcAgHg (GGA-PBE, optimized geometry); calculated total energy = -2.67 eV/atom; formation energy = -371 meV/atom; space-group type = P4mm, No. 99; energy above the most stable polymorph in this dataset = 0 meV/atom
1.0
4.069 0.000 0.000
0.000 4.069 0.000
0.000 0.000 8.235
Ba Ac Ag Hg
1 1 1 1
Direct
0.000 0.000 0.000
0.000 0.000 0.510
0.500 0.500 0.726
0.500 0.500 0.273

---

No. 9
Cs3RbBi (GGA-PBE, optimized geometry); calculated total energy = -1.05 eV/atom; formation energy = 429 meV/atom; space-group type = Pm-3m, No. 221; energy above the most stable polymorph in this dataset = 549 meV/atom
1.0
7.719 0.000 0.000
0.000 7.719 0.000
0.000 0.000 7.719
Cs Rb Bi
3 1 1
Direct
0.000 0.000 0.500
0.000 0.500 0.000
0.500 0.000 0.000
0.000 0.000 0.000
0.500 0.500 0.500

---

No. 10
Ac4Ge8Ir (GGA-PBE, optimized geometry); calculated total energy = -5.34 eV/atom; formation energy = -554 meV/atom; space-group type = Pmm2, No. 25
1.0
4.221 0.000 0.000
0.000 4.440 0.000
0.000 0.000 18.148
Ac Ge Ir
4 8 1
Direct
0.000 0.000 0.000
0.000 0.500 0.499
0.500 0.000 0.218
0.500 0.500 0.718
0.000 0.000 0.364
0.000 0.000 0.651
0.000 0.500 0.146
0.000 0.500 0.852
0.500 0.000 0.566
0.500 0.000 0.851
0.500 0.500 0.062
0.500 0.500 0.352
0.500 0.500 0.924

---

No. 11
Pm5CoHg2 (GGA-PBE, optimized geometry); calculated total energy = -3.92 eV/atom; formation energy = 8 meV/atom; space-group type = Cmcm, No. 63; energy above the most stable polymorph in this dataset = 286 meV/atom
1.0
2.722 -8.111 0.000
2.722 8.111 0.000
0.000 0.000 12.501
Pm Co Hg
10 2 4
Direct
0.075 0.925 0.604
0.075 0.925 0.896
0.301 0.699 0.250
0.305 0.695 0.583
0.305 0.695 0.917
0.695 0.305 0.083
0.695 0.305 0.417
0.699 0.301 0.750
0.925 0.075 0.104
0.925 0.075 0.396
0.194 0.806 0.750
0.806 0.194 0.250
0.116 0.884 0.136
0.116 0.884 0.364
0.884 0.116 0.636
0.884 0.116 0.864

---

No. 12
CaCdInHg2 (GGA-PBE, optimized geometry); calculated total energy = -1.48 eV/atom; formation energy = -230 meV/atom; space-group type = Pmma, No. 51
1.0
6.079 0.000 0.000
0.000 6.921 0.000
0.000 0.000 6.310
Ca Cd In Hg
2 2 2 4
Direct
0.250 0.000 0.233
0.750 0.000 0.767
0.000 0.500 0.000
0.500 0.500 0.000
0.250 0.500 0.408
0.750 0.500 0.592
0.250 0.208 0.740
0.250 0.792 0.740
0.750 0.208 0.260
0.750 0.792 0.260

---

Q: What is the calculated total energy in the fifth record?
A: -6.89 eV/atom

---

Q: The highest calculated total energy belongs to which entry?
A: Cs3RbBi